No. 1
Here is a relaxed CaCd3C crystal from the Alexandria database. Energies are from PBE.

The space group is Pm-3m (No. 221) and the conventional cell measures 4.820, 4.820 and 4.820 Å, with angles of 90.00, 90.00 and 90.00 degrees. Symmetry generates all atoms from Ca at (0.000, 0.000, 0.000), Cd at (0.000, 0.500, 0.500) and C at (0.500, 0.500, 0.500).

The formation energy is 0.6358 eV per atom. The value obtained for the density of states at the Fermi level is 2.40 states/eV per cell. The mass density is 5.77 Mg/m³.

No. 2
Here is a relaxed Zr2OsCl crystal from the Alexandria database. Energies are from PBE.

The space group is Imm2 (No. 44) and the conventional cell measures 3.246, 3.378 and 15.147 Å, with angles of 90.00, 90.00 and 90.00 degrees. Symmetry generates all atoms from Zr at (0.000, 0.000, 0.000), Zr at (0.000, 0.500, 0.275), Os at (0.000, 0.000, 0.410) and Cl at (0.000, 0.500, 0.662).

The value obtained for the density of states at the Fermi level is 3.29 states/eV per cell. The calculation puts the formation energy from raw total energies at -0.4135 eV per atom. The mass density is 8.16 Mg/m³.

No. 3
Here is a relaxed YScP2Ir5 crystal from the Alexandria database. Energies are from PBE.

The space group is P4/mmm (No. 123) and the conventional cell measures 4.002, 4.002 and 10.656 Å, with angles of 90.00, 90.00 and 90.00 degrees. Symmetry generates all atoms from Y at (0.000, 0.000, 0.000), Sc at (0.000, 0.000, 0.500), P at (0.500, 0.500, 0.214), Ir at (0.000, 0.500, 0.317) and Ir at (0.500, 0.500, 0.000).

The formation energy is -0.5967 eV per atom. The value obtained for the density of states at the Fermi level is 6.22 states/eV per cell. The mass density is 11.26 Mg/m³.